<a>
Material: CaErAgIr
Method: DFT, PBE-GGA
State: relaxed

The space group is F-43m (No. 216) and the conventional cell measures 6.991, 6.991 and 6.991 Å, with angles of 90.00, 90.00 and 90.00 degrees. Symmetry generates all atoms from Ca at (0.000, 0.000, 0.000), Er at (0.000, 0.000, 0.500), Ag at (0.250, 0.250, 0.250) and Ir at (0.250, 0.250, 0.750).

The value obtained for the total magnetization is 0.000 μB per cell. The density is 9.87 g/cm3.

<b>
Material: CaErAgIr
Method: DFT, PBE-GGA
State: relaxed

The space group is P4mm (No. 99) and the conventional cell measures 3.458, 3.458 and 7.461 Å, with angles of 90.00, 90.00 and 90.00 degrees. Symmetry generates all atoms from Ca at (0.000, 0.000, 0.000), Er at (0.000, 0.000, 0.555), Ag at (0.500, 0.500, 0.288) and Ir at (0.500, 0.500, 0.750).

The value obtained for the total magnetization is 0.003 μB per cell. The density is 9.45 g/cm3.

Last place for stability: <a>

<a>
Material: Ca3AgF
Method: DFT, PBE-GGA
State: relaxed

The space group is Pm-3m (No. 221) and the conventional cell measures 4.989, 4.989 and 4.989 Å, with angles of 90.00, 90.00 and 90.00 degrees. Symmetry generates all atoms from Ca at (0.000, 0.000, 0.500), Ag at (0.500, 0.500, 0.500) and F at (0.000, 0.000, 0.000).

The value obtained for the total magnetization is 0.000 μB per cell. The density is 3.31 g/cm3.

<b>
Material: Ca3AgF
Method: DFT, PBE-GGA
State: relaxed

The space group is Pm-3m (No. 221) and the conventional cell measures 5.740, 5.740 and 5.740 Å, with angles of 90.00, 90.00 and 90.00 degrees. Symmetry generates all atoms from Ca at (0.000, 0.000, 0.500), Ag at (0.000, 0.000, 0.000) and F at (0.500, 0.500, 0.500).

The value obtained for the total magnetization is 0.000 μB per cell. The density is 2.17 g/cm3.

Last place for stability: <b>